Below is SiOsCl at its PBEsol-relaxed geometry, with properties calculated at the meta-GGA SCAN level.

Results
- ΔE_f (raw) (eV per atom) = 0.61
- magnetic moment (μB per formula unit) = 0.00
- symmetry = F-43m

a = 4.1019 Å, b = 4.1019 Å, c = 4.1019 Å
α = 60.00°, β = 60.00°, γ = 60.00°
Fractional coordinates of all 3 atoms:
Cl 0.5000 0.5000 0.5000
Os 0.7500 0.7500 0.7500
Si 0.0000 0.0000 0.0000

***

Below is ZnAs2Ru2 at its PBEsol-relaxed geometry, with properties calculated at the meta-GGA SCAN level.

Results
- ΔH_f (0 K) (meV per atom) = -104
- magnetic moment (μB per formula unit) = 0.00
- symmetry = I4/mmm

a = 4.2106 Å, b = 4.2106 Å, c = 5.5064 Å
α = 112.48°, β = 112.48°, γ = 90.00°
Fractional coordinates of all 5 atoms:
Ru 0.2500 0.7500 0.5000
Ru 0.7500 0.2500 0.5000
As 0.3711 0.3711 0.7421
As 0.6289 0.6289 0.2579
Zn 0.0000 0.0000 0.0000

***

Below is Zn5B3Rh7 at its PBEsol-relaxed geometry, with properties calculated at the meta-GGA SCAN level.

Results
- ΔH_f (0 K) (meV per atom) = -496
- magnetic moment (μB per formula unit) = 0.00
- symmetry = Pmma

a = 2.8191 Å, b = 10.9458 Å, c = 11.6163 Å
α = 90.00°, β = 90.00°, γ = 90.00°
Fractional coordinates of all 30 atoms:
Zn 0.5000 0.2500 0.1883
Zn 0.5000 0.7500 0.8117
Zn 0.5000 0.5486 0.1348
Zn 0.5000 0.4514 0.8652
Zn 0.5000 0.0486 0.8652
Zn 0.5000 0.9514 0.1348
Zn 0.5000 0.6293 0.3472
Zn 0.5000 0.3707 0.6528
Zn 0.5000 0.1293 0.6528
Zn 0.5000 0.8707 0.3472
B 0.5000 0.2500 0.9609
B 0.5000 0.7500 0.0391
B 0.5000 0.1187 0.4069
B 0.5000 0.8813 0.5931
B 0.5000 0.6187 0.5931
B 0.5000 0.3813 0.4069
Rh 0.0000 0.0000 0.5000
Rh 0.0000 0.5000 0.5000
Rh 0.0000 0.2500 0.8170
Rh 0.0000 0.7500 0.1830
Rh 0.0000 0.2500 0.4769
Rh 0.0000 0.7500 0.5231
Rh 0.0000 0.1251 0.0368
Rh 0.0000 0.8749 0.9632
Rh 0.0000 0.6251 0.9632
Rh 0.0000 0.3749 0.0368
Rh 0.0000 0.0789 0.2795
Rh 0.0000 0.9211 0.7205
Rh 0.0000 0.5789 0.7205
Rh 0.0000 0.4211 0.2795

***

Below is YRuPt2 at its PBEsol-relaxed geometry, with properties calculated at the meta-GGA SCAN level.

Results
- ΔH_f (0 K) (meV per atom) = -351
- magnetic moment (μB per formula unit) = 2.41
- symmetry = F-43m

a = 4.5688 Å, b = 4.5688 Å, c = 4.5688 Å
α = 60.00°, β = 60.00°, γ = 60.00°
Fractional coordinates of all 4 atoms:
Pt 0.0000 0.0000 0.0000
Pt 0.7500 0.7500 0.7500
Ru 0.5000 0.5000 0.5000
Y 0.2500 0.2500 0.2500

***

Below is TcPt3N at its PBEsol-relaxed geometry, with properties calculated at the meta-GGA SCAN level.

Results
- ΔE_f (raw) (eV per atom) = 0.79
- magnetic moment (μB per formula unit) = 4.35
- symmetry = Pm-3m

a = 4.1244 Å, b = 4.1244 Å, c = 4.1244 Å
α = 90.00°, β = 90.00°, γ = 90.00°
Fractional coordinates of all 5 atoms:
Tc 0.5000 0.5000 0.5000
Pt 0.0000 0.5000 0.0000
Pt 0.0000 0.0000 0.5000
Pt 0.5000 0.0000 0.0000
N 0.0000 0.0000 0.0000

***

Below is MoPCCl2 at its PBEsol-relaxed geometry, with properties calculated at the meta-GGA SCAN level.

Results
- ΔE_f (raw) (eV per atom) = 1.31
- magnetic moment (μB per formula unit) = 2.81
- energy above the lowest structure with this stoichiometry (meV/atom) = 0
- symmetry = P4/mmm

a = 4.7140 Å, b = 4.6467 Å, c = 4.6467 Å
α = 90.00°, β = 90.00°, γ = 90.00°
Fractional coordinates of all 5 atoms:
P 0.5000 0.0000 0.0000
Mo 0.0000 0.0000 0.0000
C 0.5000 0.5000 0.5000
Cl 0.0000 0.0000 0.5000
Cl 0.0000 0.5000 0.0000

***

Below is K2CaSc at its PBEsol-relaxed geometry, with properties calculated at the meta-GGA SCAN level.

Results
- ΔH_f (0 K) (meV per atom) = 579
- magnetic moment (μB per formula unit) = 1.92
- symmetry = I-4m2

a = 6.2534 Å, b = 6.2824 Å, c = 6.2534 Å
α = 119.85°, β = 90.00°, γ = 119.85°
Fractional coordinates of all 4 atoms:
Ca 0.2500 0.5000 0.7500
K 0.0000 0.0000 0.0000
K 0.7500 0.5000 0.2500
Sc 0.5000 0.0000 0.5000

***

Below is BaLa2NbTc at its PBEsol-relaxed geometry, with properties calculated at the meta-GGA SCAN level.

Results
- ΔH_f (0 K) (meV per atom) = 1204
- magnetic moment (μB per formula unit) = 3.69
- symmetry = P4/mmm

a = 5.4323 Å, b = 5.4323 Å, c = 5.7693 Å
α = 90.00°, β = 90.00°, γ = 90.00°
Fractional coordinates of all 5 atoms:
Tc 0.5000 0.5000 0.5000
Nb 0.0000 0.0000 0.0000
Ba 0.0000 0.0000 0.5000
La 0.0000 0.5000 0.0000
La 0.5000 0.0000 0.0000

***

Below is ZrHgO3 at its PBEsol-relaxed geometry, with properties calculated at the meta-GGA SCAN level.

Results
- ΔE_f (raw) (eV per atom) = -2.01
- magnetic moment (μB per formula unit) = 0.00
- symmetry = Pm-3m

a = 4.1127 Å, b = 4.1127 Å, c = 4.1127 Å
α = 90.00°, β = 90.00°, γ = 90.00°
Fractional coordinates of all 5 atoms:
O 0.0000 0.5000 0.0000
O 0.0000 0.0000 0.5000
O 0.5000 0.0000 0.0000
Hg 0.5000 0.5000 0.5000
Zr 0.0000 0.0000 0.0000

***

Below is TaB2Ir2 at its PBEsol-relaxed geometry, with properties calculated at the meta-GGA SCAN level.

Results
- ΔH_f (0 K) (meV per atom) = -132
- magnetic moment (μB per formula unit) = 0.00
- symmetry = I4/mmm

a = 3.7918 Å, b = 3.7918 Å, c = 5.0484 Å
α = 112.06°, β = 112.06°, γ = 90.00°
Fractional coordinates of all 5 atoms:
B 0.2500 0.7500 0.5000
B 0.7500 0.2500 0.5000
Ir 0.3558 0.3558 0.7116
Ir 0.6442 0.6442 0.2884
Ta 0.0000 0.0000 0.0000

***

Below is HfTlTe2 at its PBEsol-relaxed geometry, with properties calculated at the meta-GGA SCAN level.

Results
- ΔE_f (raw) (eV per atom) = -0.63
- magnetic moment (μB per formula unit) = 0.00
- symmetry = P-3m1

a = 3.8961 Å, b = 3.8961 Å, c = 8.7476 Å
α = 90.00°, β = 90.00°, γ = 120.00°
Fractional coordinates of all 4 atoms:
Tl 0.0000 0.0000 0.0000
Te 0.6667 0.3333 0.7035
Te 0.3333 0.6667 0.2965
Hf 0.0000 0.0000 0.5000

***

Below is AgBi3Br at its PBEsol-relaxed geometry, with properties calculated at the meta-GGA SCAN level.

Results
- ΔE_f (raw) (eV per atom) = 0.55
- magnetic moment (μB per formula unit) = 0.00
- symmetry = Pm-3m

a = 5.4713 Å, b = 5.4713 Å, c = 5.4713 Å
α = 90.00°, β = 90.00°, γ = 90.00°
Fractional coordinates of all 5 atoms:
Br 0.5000 0.5000 0.5000
Bi 0.0000 0.5000 0.0000
Bi 0.0000 0.0000 0.5000
Bi 0.5000 0.0000 0.0000
Ag 0.0000 0.0000 0.0000

***

Below is KTaSn3 at its PBEsol-relaxed geometry, with properties calculated at the meta-GGA SCAN level.

Results
- ΔH_f (0 K) (meV per atom) = 2136
- magnetic moment (μB per formula unit) = 2.83
- symmetry = Pm-3m

a = 5.3709 Å, b = 5.3709 Å, c = 5.3709 Å
α = 90.00°, β = 90.00°, γ = 90.00°
Fractional coordinates of all 5 atoms:
K 0.0000 0.0000 0.0000
Sn 0.0000 0.5000 0.0000
Sn 0.0000 0.0000 0.5000
Sn 0.5000 0.0000 0.0000
Ta 0.5000 0.5000 0.5000

***

Below is Cu2Br at its PBEsol-relaxed geometry, with properties calculated at the meta-GGA SCAN level.

Results
- ΔE_f (raw) (eV per atom) = 0.60
- magnetic moment (μB per formula unit) = 0.00
- symmetry = P6/mmm

a = 3.4948 Å, b = 4.0676 Å, c = 4.0676 Å
α = 120.00°, β = 90.00°, γ = 90.00°
Fractional coordinates of all 3 atoms:
Br 0.0000 0.0000 0.0000
Cu 0.5000 0.6667 0.3333
Cu 0.5000 0.3333 0.6667

***

Below is Ca2YIn2 at its PBEsol-relaxed geometry, with properties calculated at the meta-GGA SCAN level.

Results
- ΔH_f (0 K) (meV per atom) = -461
- magnetic moment (μB per formula unit) = 0.00
- symmetry = P4/mbm

a = 4.0130 Å, b = 8.5274 Å, c = 8.5274 Å
α = 90.00°, β = 90.00°, γ = 90.00°
Fractional coordinates of all 10 atoms:
Y 0.0000 0.0000 0.0000
Y 0.0000 0.5000 0.5000
Ca 0.5000 0.1698 0.6698
Ca 0.5000 0.6698 0.8302
Ca 0.5000 0.8302 0.3302
Ca 0.5000 0.3302 0.1698
In 0.0000 0.3710 0.8710
In 0.0000 0.8710 0.6290
In 0.0000 0.6290 0.1290
In 0.0000 0.1290 0.3710

***

Below is Sc4Cd at its PBEsol-relaxed geometry, with properties calculated at the meta-GGA SCAN level.

Results
- ΔH_f (0 K) (meV per atom) = -96
- magnetic moment (μB per formula unit) = 1.80
- symmetry = I4/m

a = 4.5692 Å, b = 5.4579 Å, c = 5.4579 Å
α = 79.91°, β = 65.25°, γ = 65.25°
Fractional coordinates of all 5 atoms:
Sc 0.8078 0.8011 0.5832
Sc 0.1922 0.1989 0.4168
Sc 0.6089 0.5832 0.1989
Sc 0.3911 0.4168 0.8011
Cd 0.0000 0.0000 0.0000

***

Below is NdCdGa at its PBEsol-relaxed geometry, with properties calculated at the meta-GGA SCAN level.

Results
- ΔH_f (0 K) (meV per atom) = -643
- magnetic moment (μB per formula unit) = 0.00
- symmetry = P-62m

a = 4.4234 Å, b = 7.3035 Å, c = 7.3035 Å
α = 120.00°, β = 90.00°, γ = 90.00°
Fractional coordinates of all 9 atoms:
Nd 0.5000 0.5791 0.0000
Nd 0.5000 0.4209 0.4209
Nd 0.5000 0.0000 0.5791
Cd 0.0000 0.2470 0.0000
Cd 0.0000 0.7530 0.7530
Cd 0.0000 0.0000 0.2470
Ga 0.0000 0.3333 0.6667
Ga 0.0000 0.6667 0.3333
Ga 0.5000 0.0000 0.0000

***

Below is Co3SiSn at its PBEsol-relaxed geometry, with properties calculated at the meta-GGA SCAN level.

Results
- ΔE_f (raw) (eV per atom) = 1.61
- magnetic moment (μB per formula unit) = 4.52
- symmetry = Pm-3m

a = 4.5541 Å, b = 4.5541 Å, c = 4.5541 Å
α = 90.00°, β = 90.00°, γ = 90.00°
Fractional coordinates of all 5 atoms:
Si 0.5000 0.5000 0.5000
Co 0.0000 0.5000 0.0000
Co 0.0000 0.0000 0.5000
Co 0.5000 0.0000 0.0000
Sn 0.0000 0.0000 0.0000

***

Below is Sm6Si19Rh30 at its PBEsol-relaxed geometry, with properties calculated at the meta-GGA SCAN level.

Results
- ΔE_f (raw) (eV per atom) = -1.14
- magnetic moment (μB per formula unit) = 0.00
- symmetry = P3

a = 3.8263 Å, b = 15.6065 Å, c = 15.6065 Å
α = 120.00°, β = 90.00°, γ = 90.00°
Fractional coordinates of all 55 atoms:
Sm 0.7514 0.1002 0.7033
Sm 0.7514 0.2967 0.3969
Sm 0.7514 0.6031 0.8998
Sm 0.2514 0.8995 0.2950
Sm 0.2514 0.7050 0.6045
Sm 0.2514 0.3955 0.1005
Si 0.7513 0.8664 0.7462
Si 0.7513 0.2538 0.1202
Si 0.7513 0.8798 0.1336
Si 0.2514 0.1324 0.2544
Si 0.2514 0.7456 0.8781
Si 0.2514 0.1219 0.8676
Si 0.7514 0.6814 0.4408
Si 0.7514 0.5592 0.2407
Si 0.7514 0.7593 0.3186
Si 0.2514 0.3186 0.5591
Si 0.2514 0.4409 0.7595
Si 0.2514 0.2405 0.6814
Si 0.7514 0.0624 0.4341
Si 0.7514 0.5659 0.6283
Si 0.7514 0.3717 0.9376
Si 0.2514 0.9368 0.5660
Si 0.2514 0.4340 0.3708
Si 0.2514 0.6292 0.0632
Si 0.7497 0.0000 0.0000
Rh 0.7514 0.8464 0.5831
Rh 0.7514 0.4169 0.2633
Rh 0.7514 0.7367 0.1536
Rh 0.2514 0.1520 0.4162
Rh 0.2514 0.5838 0.7358
Rh 0.2514 0.2642 0.8480
Rh 0.7514 0.9245 0.4617
Rh 0.7514 0.5383 0.4628
Rh 0.7514 0.5372 0.0755
Rh 0.2514 0.0750 0.5380
Rh 0.2514 0.4620 0.5370
Rh 0.2514 0.4630 0.9250
Rh 0.7514 0.2289 0.9564
Rh 0.7514 0.0436 0.2726
Rh 0.7514 0.7274 0.7711
Rh 0.2514 0.7723 0.0465
Rh 0.2514 0.9535 0.7258
Rh 0.2514 0.2742 0.2277
Rh 0.7514 0.0312 0.8721
Rh 0.7514 0.1279 0.1591
Rh 0.7514 0.8409 0.9688
Rh 0.2514 0.9731 0.1118
Rh 0.2514 0.8882 0.8613
Rh 0.2514 0.1387 0.0269
Rh 0.7514 0.3483 0.7763
Rh 0.7514 0.2237 0.5721
Rh 0.7514 0.4279 0.6517
Rh 0.2514 0.6514 0.2239
Rh 0.2514 0.7761 0.4275
Rh 0.2514 0.5725 0.3486

***

Below is CaSiN2 at its PBEsol-relaxed geometry, with properties calculated at the meta-GGA SCAN level.

Results
- ΔE_f (raw) (eV per atom) = -1.48
- magnetic moment (μB per formula unit) = 0.00
- symmetry = Pbca

a = 5.1103 Å, b = 10.1665 Å, c = 14.8051 Å
α = 90.00°, β = 90.00°, γ = 90.00°
Fractional coordinates of all 64 atoms:
Ca 0.6515 0.7745 0.3125
Ca 0.7407 0.0093 0.4349
Ca 0.2407 0.4907 0.5651
Ca 0.8485 0.2255 0.8125
Ca 0.3485 0.2255 0.6875
Ca 0.2593 0.5093 0.0651
Ca 0.2593 0.9907 0.5651
Ca 0.3485 0.2745 0.1875
Ca 0.1515 0.7255 0.6875
Ca 0.1515 0.7745 0.1875
Ca 0.7407 0.4907 0.9349
Ca 0.6515 0.7255 0.8125
Ca 0.2407 0.0093 0.0651
Ca 0.7593 0.5093 0.4349
Ca 0.7593 0.9907 0.9349
Ca 0.8485 0.2745 0.3125
Si 0.2727 0.9837 0.8119
Si 0.6826 0.7298 0.5628
Si 0.6826 0.7702 0.0628
Si 0.1826 0.7702 0.4372
Si 0.8174 0.2702 0.0628
Si 0.3174 0.2702 0.4372
Si 0.8174 0.2298 0.5628
Si 0.7273 0.0163 0.1881
Si 0.1826 0.7298 0.9372
Si 0.2273 0.4837 0.8119
Si 0.7273 0.4837 0.6881
Si 0.3174 0.2298 0.9372
Si 0.2273 0.0163 0.3119
Si 0.2727 0.5163 0.3119
Si 0.7727 0.9837 0.6881
Si 0.7727 0.5163 0.1881
N 0.3063 0.9278 0.4097
N 0.5966 0.0241 0.7851
N 0.3483 0.7774 0.0361
N 0.7778 0.1812 0.1628
N 0.9034 0.5241 0.7851
N 0.7222 0.6812 0.1628
N 0.2222 0.8188 0.8372
N 0.4034 0.9759 0.2149
N 0.5966 0.4759 0.2851
N 0.1517 0.2226 0.5361
N 0.1937 0.4278 0.4097
N 0.0966 0.4759 0.2149
N 0.2778 0.3188 0.8372
N 0.8063 0.9278 0.0903
N 0.1517 0.2774 0.0361
N 0.8483 0.7226 0.9639
N 0.6517 0.2226 0.9639
N 0.6937 0.4278 0.0903
N 0.0966 0.0241 0.7149
N 0.1937 0.0722 0.9097
N 0.2222 0.6812 0.3372
N 0.3483 0.7226 0.5361
N 0.4034 0.5241 0.7149
N 0.6517 0.2774 0.4639
N 0.2778 0.1812 0.3372
N 0.7222 0.8188 0.6628
N 0.9034 0.9759 0.2851
N 0.8063 0.5722 0.5903
N 0.8483 0.7774 0.4639
N 0.7778 0.3188 0.6628
N 0.3063 0.5722 0.9097
N 0.6937 0.0722 0.5903